(1)
PaCrGaRu | PBE | relaxed

Output
M_tot in μB per cell: 1.8
Symmetry: No. 216
Formation energy from the elements in meV/atom: -209
Crystal system: cubic

Unit cell a=4.5737 b=4.5737 c=4.5737 alpha=60.00 beta=60.00 gamma=60.00
With the nearest neighbours (Å) after each atom.
Fractional positions:
1 Pa 0.0000 0.0000 0.0000  4 Ru 2.80, 4 Cr 2.80
2 Cr 0.2500 0.2500 0.2500  4 Pa 2.80, 4 Ga 2.80
3 Ga 0.5000 0.5000 0.5000  4 Ru 2.80, 4 Cr 2.80
4 Ru 0.7500 0.7500 0.7500  4 Ga 2.80, 4 Pa 2.80

---

(2)
K3Pt5Se12 | PBE | relaxed

Output
Energy relative to the elements, uncorrected in eV/atom: -0.24
M_tot in μB per cell: 0.0
Symmetry: No. 230
Crystal system: cubic

Unit cell a=14.0083 b=14.0083 c=14.0083 alpha=109.47 beta=109.47 gamma=109.47
With the nearest neighbours (Å) after each atom.
Fractional positions:
1 K 0.1250 0.2500 0.3750  4 Se 3.13
2 K 0.1250 0.3750 0.7500  4 Se 3.13
3 K 0.2500 0.3750 0.1250  4 Se 3.13
4 K 0.2500 0.8750 0.6250  4 Se 3.13
5 K 0.3750 0.1250 0.2500  4 Se 3.13
6 K 0.3750 0.7500 0.1250  4 Se 3.13
7 K 0.6250 0.2500 0.8750  4 Se 3.13
8 K 0.6250 0.8750 0.7500  4 Se 3.13
9 K 0.7500 0.1250 0.3750  4 Se 3.13
10 K 0.7500 0.6250 0.8750  4 Se 3.13
11 K 0.8750 0.6250 0.2500  4 Se 3.13
12 K 0.8750 0.7500 0.6250  4 Se 3.13
13 Pt 0.0000 0.0000 0.0000  6 Se 2.57
14 Pt 0.0000 0.0000 0.5000  6 Se 2.57
15 Pt 0.0000 0.5000 0.0000  6 Se 2.57
16 Pt 0.0000 0.5000 0.5000  6 Se 2.57
17 Pt 0.1250 0.7500 0.8750  4 Se 2.42
18 Pt 0.1250 0.8750 0.2500  4 Se 2.42
19 Pt 0.2500 0.1250 0.8750  4 Se 2.42
20 Pt 0.2500 0.6250 0.3750  4 Se 2.42
21 Pt 0.3750 0.2500 0.6250  4 Se 2.42
22 Pt 0.3750 0.6250 0.7500  4 Se 2.42
23 Pt 0.5000 0.0000 0.0000  6 Se 2.57
24 Pt 0.5000 0.0000 0.5000  6 Se 2.57
25 Pt 0.5000 0.5000 0.0000  6 Se 2.57
26 Pt 0.5000 0.5000 0.5000  6 Se 2.57
27 Pt 0.6250 0.3750 0.2500  4 Se 2.42
28 Pt 0.6250 0.7500 0.3750  4 Se 2.42
29 Pt 0.7500 0.3750 0.6250  4 Se 2.42
30 Pt 0.7500 0.8750 0.1250  4 Se 2.42
31 Pt 0.8750 0.1250 0.7500  4 Se 2.42
32 Pt 0.8750 0.2500 0.1250  4 Se 2.42
33 Se 0.0136 0.2005 0.0879  2 Pt 2.42-2.57
34 Se 0.0136 0.3130 0.9257  2 Pt 2.42-2.57
35 Se 0.0743 0.5879 0.3873  2 Pt 2.42-2.57
36 Se 0.0743 0.9864 0.6870  2 Pt 2.42-2.57
37 Se 0.0879 0.0136 0.2005  2 Pt 2.42-2.57
38 Se 0.0879 0.5743 0.8873  2 Pt 2.42-2.57
39 Se 0.1127 0.7005 0.6870  2 Pt 2.42-2.57
40 Se 0.1127 0.9121 0.4257  2 Pt 2.42-2.57
41 Se 0.1870 0.2005 0.6127  2 Pt 2.42-2.57
42 Se 0.1870 0.4864 0.5743  2 Pt 2.42-2.57
43 Se 0.2005 0.0879 0.0136  2 Pt 2.42-2.57
44 Se 0.2005 0.6127 0.1870  2 Pt 2.42-2.57
45 Se 0.2995 0.3130 0.8873  2 Pt 2.42-2.57
46 Se 0.2995 0.4864 0.4121  2 Pt 2.42-2.57
47 Se 0.3130 0.8873 0.2995  2 Pt 2.42-2.57
48 Se 0.3130 0.9257 0.0136  2 Pt 2.42-2.57
49 Se 0.3873 0.0743 0.5879  2 Pt 2.42-2.57
50 Se 0.3873 0.8130 0.7995  2 Pt 2.42-2.57
51 Se 0.4121 0.2995 0.4864  2 Pt 2.42-2.57
52 Se 0.4121 0.6127 0.9257  2 Pt 2.42-2.57
53 Se 0.4257 0.1127 0.9121  2 Pt 2.42-2.57
54 Se 0.4257 0.8130 0.5136  2 Pt 2.42-2.57
55 Se 0.4864 0.4121 0.2995  2 Pt 2.42-2.57
56 Se 0.4864 0.5743 0.1870  2 Pt 2.42-2.57
57 Se 0.5136 0.4257 0.8130  2 Pt 2.42-2.57
58 Se 0.5136 0.5879 0.7005  2 Pt 2.42-2.57
59 Se 0.5743 0.1870 0.4864  2 Pt 2.42-2.57
60 Se 0.5743 0.8873 0.0879  2 Pt 2.42-2.57
61 Se 0.5879 0.3873 0.0743  2 Pt 2.42-2.57
62 Se 0.5879 0.7005 0.5136  2 Pt 2.42-2.57
63 Se 0.6127 0.1870 0.2005  2 Pt 2.42-2.57
64 Se 0.6127 0.9257 0.4121  2 Pt 2.42-2.57
65 Se 0.6870 0.0743 0.9864  2 Pt 2.42-2.57
66 Se 0.6870 0.1127 0.7005  2 Pt 2.42-2.57
67 Se 0.7005 0.5136 0.5879  2 Pt 2.42-2.57
68 Se 0.7005 0.6870 0.1127  2 Pt 2.42-2.57
69 Se 0.7995 0.3873 0.8130  2 Pt 2.42-2.57
70 Se 0.7995 0.9121 0.9864  2 Pt 2.42-2.57
71 Se 0.8130 0.5136 0.4257  2 Pt 2.42-2.57
72 Se 0.8130 0.7995 0.3873  2 Pt 2.42-2.57
73 Se 0.8873 0.0879 0.5743  2 Pt 2.42-2.57
74 Se 0.8873 0.2995 0.3130  2 Pt 2.42-2.57
75 Se 0.9121 0.4257 0.1127  2 Pt 2.42-2.57
76 Se 0.9121 0.9864 0.7995  2 Pt 2.42-2.57
77 Se 0.9257 0.0136 0.3130  2 Pt 2.42-2.57
78 Se 0.9257 0.4121 0.6127  2 Pt 2.42-2.57
79 Se 0.9864 0.6870 0.0743  2 Pt 2.42-2.57
80 Se 0.9864 0.7995 0.9121  2 Pt 2.42-2.57

---

(3)
Ce6Th | PBE | relaxed

Output
M_tot in μB per cell: 0.0
Symmetry: No. 229
Formation energy from the elements in meV/atom: 703
Crystal system: cubic

Unit cell a=6.5669 b=6.5669 c=6.5669 alpha=109.47 beta=109.47 gamma=109.47
With the nearest neighbours (Å) after each atom.
Fractional positions:
1 Ce 0.2500 0.5000 0.7500  4 Ce 2.68
2 Ce 0.2500 0.7500 0.5000  4 Ce 2.68
3 Ce 0.5000 0.2500 0.7500  4 Ce 2.68
4 Ce 0.5000 0.7500 0.2500  4 Ce 2.68
5 Ce 0.7500 0.2500 0.5000  4 Ce 2.68
6 Ce 0.7500 0.5000 0.2500  4 Ce 2.68
7 Th 0.0000 0.0000 0.0000  24 Ce 4.24

---

(4)
PbW2Br | PBE | relaxed

Output
Energy relative to the elements, uncorrected in eV/atom: 1.12
Offset from the most stable computed form in meV per atom: 761.7
M_tot in μB per cell: 0.0
Symmetry: No. 10
Crystal system: monoclinic

Unit cell a=3.4727 b=5.1022 c=5.6786 alpha=90.00 beta=91.92 gamma=90.00
With the nearest neighbours (Å) after each atom.
Fractional positions:
1 Pb 0.0000 0.0000 0.0000  4 W 2.85
2 W 0.2730 0.5000 0.1520  2 W 2.38-2.52
3 W 0.7270 0.5000 0.8480  2 W 2.38-2.52
4 Br 0.5000 0.0000 0.5000  4 Pb 3.28-3.38, 4 W 3.31, 2 Br 3.47

---

(5)
K2CaCdSe | PBE | relaxed

Output
Energy relative to the elements, uncorrected in eV/atom: -0.23
M_tot in μB per cell: 0.0
Symmetry: No. 123
Crystal system: tetragonal

Unit cell a=7.3453 b=7.3453 c=5.3059 alpha=90.00 beta=90.00 gamma=90.00
With the nearest neighbours (Å) after each atom.
Fractional positions:
1 K 0.0000 0.5000 0.0000  2 Ca 3.67
2 K 0.5000 0.0000 0.0000  2 Ca 3.67
3 Ca 0.0000 0.0000 0.0000  2 Se 2.65
4 Cd 0.5000 0.5000 0.5000  8 K 4.53
5 Se 0.0000 0.0000 0.5000  2 Ca 2.65

---

(6)
Li4GaPb5 | PBE | relaxed

Output
M_tot in μB per cell: 0.0
Symmetry: No. 123
Formation energy from the elements in meV/atom: -187
Crystal system: tetragonal

Unit cell a=3.6051 b=3.6051 c=18.0281 alpha=90.00 beta=90.00 gamma=90.00
With the nearest neighbours (Å) after each atom.
Fractional positions:
1 Li 0.0000 0.0000 0.0976  8 Pb 3.08-3.10, 1 Li 3.41
2 Li 0.0000 0.0000 0.2865  8 Pb 3.05-3.18, 1 Li 3.41
3 Li 0.0000 0.0000 0.7135  8 Pb 3.05-3.18, 1 Li 3.41
4 Li 0.0000 0.0000 0.9024  8 Pb 3.08-3.10, 1 Li 3.41
5 Ga 0.0000 0.0000 0.5000  8 Pb 3.21
6 Pb 0.5000 0.5000 0.0000  8 Li 3.10
7 Pb 0.5000 0.5000 0.1935  8 Li 3.05-3.08
8 Pb 0.5000 0.5000 0.3917  4 Li 3.18, 4 Ga 3.21
9 Pb 0.5000 0.5000 0.6083  4 Li 3.18, 4 Ga 3.21
10 Pb 0.5000 0.5000 0.8065  8 Li 3.05-3.08

---

(7)
Mg3C5 | PBE | relaxed

Output
Offset from the most stable computed form in meV per atom: 0.0
M_tot in μB per cell: 0.0
Symmetry: No. 8
Formation energy from the elements in meV/atom: 629
Crystal system: monoclinic

Unit cell a=5.9643 b=5.9643 c=6.9077 alpha=101.89 beta=101.89 gamma=118.47
With the nearest neighbours (Å) after each atom.
Fractional positions:
1 Mg 0.0000 0.0000 0.0000  5 C 2.19-2.37
2 Mg 0.1115 0.1115 0.5522  6 C 2.21-2.43
3 Mg 0.3534 0.6457 0.3371  6 C 2.23-2.46
4 Mg 0.4488 0.8978 0.8711  6 C 2.33-2.54
5 Mg 0.6457 0.3534 0.3371  6 C 2.23-2.46
6 Mg 0.8978 0.4488 0.8711  6 C 2.33-2.54
7 C 0.2678 0.8774 0.1401  1 C 1.30
8 C 0.2806 0.9808 0.3294  1 C 1.30
9 C 0.3009 0.4524 0.8663  3 C 1.55-1.57
10 C 0.4397 0.4397 0.0798  3 C 1.51-1.57
11 C 0.4524 0.3009 0.8663  3 C 1.55-1.57
12 C 0.6172 0.6172 0.9789  3 C 1.51-1.56
13 C 0.7176 0.8455 0.6441  1 C 1.31
14 C 0.8455 0.7176 0.6441  1 C 1.31
15 C 0.8774 0.2678 0.1401  1 C 1.30
16 C 0.9808 0.2806 0.3294  1 C 1.30

---

(8)
NaHg2PtPb | PBE | relaxed

Output
M_tot in μB per cell: 0.0
Symmetry: No. 123
Formation energy from the elements in meV/atom: -62
Crystal system: tetragonal

Unit cell a=5.3473 b=5.3473 c=5.3518 alpha=90.00 beta=90.00 gamma=90.00
With the nearest neighbours (Å) after each atom.
Fractional positions:
1 Na 0.0000 0.0000 0.0000  4 Pb 3.78, 8 Hg 3.78
2 Hg 0.0000 0.5000 0.5000  2 Pt 2.67
3 Hg 0.5000 0.0000 0.5000  2 Pt 2.67
4 Pt 0.5000 0.5000 0.5000  4 Hg 2.67, 2 Pb 2.68
5 Pb 0.5000 0.5000 0.0000  2 Pt 2.68

---

(9)
NiMo3I | PBE | relaxed

Output
Energy relative to the elements, uncorrected in eV/atom: 1.57
Offset from the most stable computed form in meV per atom: 0.0
M_tot in μB per cell: 0.0
Symmetry: No. 221
Crystal system: cubic

Unit cell a=4.5936 b=4.5936 c=4.5936 alpha=90.00 beta=90.00 gamma=90.00
With the nearest neighbours (Å) after each atom.
Fractional positions:
1 Ni 0.0000 0.0000 0.0000  6 Mo 2.30
2 Mo 0.0000 0.0000 0.5000  2 Ni 2.30
3 Mo 0.0000 0.5000 0.0000  2 Ni 2.30
4 Mo 0.5000 0.0000 0.0000  2 Ni 2.30
5 I 0.5000 0.5000 0.5000  12 Mo 3.25

---

(10)
Sm4Dy10Er | PBE | relaxed

Output
M_tot in μB per cell: 0.0
Symmetry: No. 87
Formation energy from the elements in meV/atom: 744
Crystal system: tetragonal

Unit cell a=9.4365 b=9.4365 c=9.4365 alpha=99.59 beta=99.59 gamma=131.81
With the nearest neighbours (Å) after each atom.
Fractional positions:
1 Sm 0.1008 0.7010 0.8019  8 Dy 3.34-3.35
2 Sm 0.2990 0.1008 0.3998  8 Dy 3.34-3.35
3 Sm 0.7010 0.8992 0.6002  8 Dy 3.34-3.35
4 Sm 0.8992 0.2990 0.1981  8 Dy 3.34-3.35
5 Dy 0.0525 0.3504 0.8996  1 Er 3.32, 3 Sm 3.34
6 Dy 0.1528 0.0525 0.7021  1 Er 3.32, 3 Sm 3.34
7 Dy 0.2500 0.7500 0.5000  4 Sm 3.35
8 Dy 0.3504 0.4508 0.2979  1 Er 3.32, 3 Sm 3.34
9 Dy 0.4508 0.1528 0.1004  1 Er 3.32, 3 Sm 3.34
10 Dy 0.5492 0.8472 0.8996  1 Er 3.32, 3 Sm 3.34
11 Dy 0.6496 0.5492 0.7021  1 Er 3.32, 3 Sm 3.34
12 Dy 0.7500 0.2500 0.5000  4 Sm 3.35
13 Dy 0.8472 0.9475 0.2979  1 Er 3.32, 3 Sm 3.34
14 Dy 0.9475 0.6496 0.1004  1 Er 3.32, 3 Sm 3.34
15 Er 0.5000 0.5000 0.0000  8 Dy 3.32

---

(11)
SrZr2Rh | PBE | relaxed

Output
Offset from the most stable computed form in meV per atom: 442.4
M_tot in μB per cell: 0.0
Symmetry: No. 139
Formation energy from the elements in meV/atom: 265
Crystal system: tetragonal

Unit cell a=6.1206 b=6.1206 c=6.1206 alpha=140.31 beta=140.31 gamma=57.38
With the nearest neighbours (Å) after each atom.
Fractional positions:
1 Sr 0.0000 0.0000 0.0000  4 Rh 2.94
2 Zr 0.2500 0.7500 0.5000  4 Zr 2.94
3 Zr 0.7500 0.2500 0.5000  4 Zr 2.94
4 Rh 0.5000 0.5000 0.0000  4 Sr 2.94

---

(12)
LaNbIN2 | PBE | relaxed

Output
Energy relative to the elements, uncorrected in eV/atom: -0.09
Offset from the most stable computed form in meV per atom: 0.0
M_tot in μB per cell: 0.0
Symmetry: No. 123
Crystal system: tetragonal

Unit cell a=4.2733 b=4.2733 c=5.4295 alpha=90.00 beta=90.00 gamma=90.00
With the nearest neighbours (Å) after each atom.
Fractional positions:
1 La 0.0000 0.0000 0.0000  4 I 3.02
2 Nb 0.5000 0.5000 0.5000  4 N 2.14
3 I 0.5000 0.5000 0.0000  2 Nb 2.71, 4 La 3.02
4 N 0.0000 0.5000 0.5000  2 Nb 2.14
5 N 0.5000 0.0000 0.5000  2 Nb 2.14